[1]
A plane-wave DFT calculation with PBE with a Hubbard U was carried out for a geometry-optimized K2LiVF6 structure.

```
K2LiVF6
1.0
5.7697 0.0000 0.0000
2.8848 4.9967 0.0000
2.8848 1.6656 4.7109
K Li F V
2 1 6 1
direct
0.2500 0.2500 0.2500 K
0.7500 0.7500 0.7500 K
0.0000 0.0000 0.0000 Li
0.2574 0.7426 0.2574 F
0.2574 0.7426 0.7426 F
0.7426 0.7426 0.2574 F
0.2574 0.2574 0.7426 F
0.7426 0.2574 0.2574 F
0.7426 0.2574 0.7426 F
0.5000 0.5000 0.5000 V
```

* total energy: -51.44 eV/cell
* DOS(E_F): 10.7 states/eV/cell
* magnetic moment: 2.00 μB/f.u.

[2]
A plane-wave DFT calculation with PBE with a Hubbard U was carried out for a geometry-optimized KLiWF6 structure.

```
KLiWF6
1.0
5.4358 0.0000 0.0000
-2.7179 4.7076 0.0000
0.0000 0.0000 11.6862
K F W Li
2 12 2 2
direct
0.0000 0.0000 0.0000 K
0.0000 0.0000 0.5000 K
0.9866 0.6267 0.3473 F
0.3733 0.0134 0.1527 F
0.6400 0.6267 0.1527 F
0.3733 0.3600 0.3473 F
0.6267 0.6400 0.6527 F
0.3600 0.3733 0.8473 F
0.0134 0.3733 0.6527 F
0.0134 0.6400 0.8473 F
0.6267 0.9866 0.8473 F
0.9866 0.3600 0.1527 F
0.3600 0.9866 0.6527 F
0.6400 0.0134 0.3473 F
0.6667 0.3333 0.2500 W
0.3333 0.6667 0.7500 W
0.3333 0.6667 0.2500 Li
0.6667 0.3333 0.7500 Li
```

* total energy: -94.30 eV/cell
* DOS(E_F): 0.0 states/eV/cell
* magnetic moment: 2.00 μB/f.u.

[3]
A plane-wave DFT calculation with PBE with a Hubbard U was carried out for a geometry-optimized K2LiWF6 structure.

```
K2LiWF6
1.0
5.9240 0.0000 0.0000
0.0000 5.9377 0.0000
0.0000 0.0000 8.3888
K F W Li
4 12 2 2
direct
0.5000 0.7500 0.2505 K
0.0000 0.2500 0.7505 K
0.5000 0.7500 0.7495 K
0.0000 0.2500 0.2495 K
0.5000 0.2500 0.7516 F
0.7517 0.5021 0.5000 F
0.0000 0.7500 0.2516 F
0.7483 0.4979 0.0000 F
0.7484 0.0022 0.0000 F
0.2483 0.5021 0.5000 F
0.0000 0.7500 0.7484 F
0.2484 0.9978 0.5000 F
0.2516 0.0022 0.0000 F
0.2517 0.4979 0.0000 F
0.5000 0.2500 0.2484 F
0.7516 0.9978 0.5000 F
0.0000 0.7501 0.0000 W
0.5000 0.2499 0.5000 W
0.5000 0.2500 0.0000 Li
0.0000 0.7500 0.5000 Li
```

* total energy: -101.11 eV/cell
* DOS(E_F): 0.0 states/eV/cell
* magnetic moment: 3.00 μB/f.u.

| no. | ρ (g/cm3) |
| --- | --- |
| 1 | 3.06 |
| 2 | 3.82 |
| 3 | 4.31 |